The following is a PBE-GGA calculation of a geometry-optimized CaPmGe2Pt5 structure, from Alexandria.

Calculated values
The energy relative to the elements comes out at -698 kJ/mol of formula units. Its calculated total energy is -5.936 eV per atom.

a b c (Å): 4.2586 4.2586 9.1017
angles (deg): 90.00 90.00 90.00
Closest atoms and distances in Å follow each position.
Sites, in units of the cell vectors:
Ca 0.0000 0.0000 0.5000  12 Pt 2.96-3.01
Pm 0.0000 0.0000 0.0000  8 Ge 3.26, 8 Pt 3.28
Ge 0.5000 0.5000 0.1368  4 Pt 2.47, 1 Ge 2.49
Ge 0.5000 0.5000 0.8632  4 Pt 2.47, 1 Ge 2.49
Pt 0.0000 0.5000 0.2742  2 Ge 2.47
Pt 0.5000 0.0000 0.2742  2 Ge 2.47
Pt 0.0000 0.5000 0.7258  2 Ge 2.47
Pt 0.5000 0.0000 0.7258  2 Ge 2.47
Pt 0.5000 0.5000 0.5000  8 Pt 2.96, 4 Ca 3.01, 2 Ge 3.31